! CsTaTl2C (PBE, relaxed); values from VASP
&SYSTEM
  ibrav = 0, nat = 5, ntyp = 4
/
ATOMIC_SPECIES
Cs 132.91 Cs.upf
Ta 180.95 Ta.upf
Tl 204.38 Tl.upf
C 12.01 C.upf
CELL_PARAMETERS angstrom
6.537 0.000 0.000
0.000 6.537 0.000
0.000 0.000 5.528
ATOMIC_POSITIONS angstrom
Cs 0.000 0.000 0.000
Ta 0.000 0.000 2.764
Tl 0.000 3.268 0.000
Tl 3.268 0.000 0.000
C 3.268 3.268 2.764
! Crystal system = tetragonal
! Raw total energy = -2.091 eV per atom
! E_form = 3.24 eV per atom